(1)
Crystalline Tb2Si2GeRu5 at its relaxed geometry. Source: Alexandria via LeMat-Bulk, functional PBE.

Properties
The value obtained for the raw formation energy is -61 kJ per mole of atoms.

Cell lengths 10.004, 10.004, 3.209 Å; angles 90.00, 90.00, 90.00 degrees
Space group P4/mbm (No. 127)
One atom of each set of equivalent atoms:
Tb  0.174  0.326  0.000
Si  0.127  0.627  0.000
Ge  0.000  0.000  0.000
Ru  0.000  0.500  0.500
Ru  0.066  0.794  0.500

(2)
Crystalline BaLiAlOs2 at its relaxed geometry. Source: Alexandria via LeMat-Bulk, functional PBE.

Properties
For the calculated formation energy, the calculation gives 5.848 eV/f.u.

Cell lengths 4.586, 4.586, 4.494 Å; angles 90.00, 90.00, 90.00 degrees
Space group P4/mmm (No. 123)
One atom of each set of equivalent atoms:
Ba  0.000  0.000  0.000
Li  0.500  0.500  0.500
Al  0.500  0.500  0.000
Os  0.000  0.500  0.500

(3)
Crystalline CeSm12Er6 at its relaxed geometry. Source: Alexandria via LeMat-Bulk, functional PBE.

Properties
For the calculated formation energy, the calculation gives 0.559 eV/f.u.

Cell lengths 15.6422, 15.6422, 8.7792 Å; angles 90.00, 90.00, 120.00 degrees
Space group R-3 (No. 148, hexagonal axes)
One atom of each set of equivalent atoms:
Ce  0.0000  0.0000  0.0000
Sm  0.0357  0.7563  0.3359
Sm  0.0720  0.5099  0.6670
Er  0.0173  0.8791  0.6669

(4)
Crystalline CeTmSn at its relaxed geometry. Source: Alexandria via LeMat-Bulk, functional PBE.

Properties
For the calculated formation energy, the calculation gives -0.863 eV/f.u.

Cell lengths 5.2096, 5.2096, 3.6608 Å; angles 90.00, 90.00, 120.00 degrees
Space group P3m1 (No. 156)
One atom of each set of equivalent atoms:
Ce  0.0000  0.0000  0.0000
Tm  0.3333  0.6667  0.4446
Sn  0.6667  0.3333  0.6327

(5)
Crystalline CePuAlRe at its relaxed geometry. Source: Alexandria via LeMat-Bulk, functional PBE.

Properties
For the calculated formation energy, the calculation gives -0.022 eV/f.u.

Cell lengths 6.785, 6.785, 6.785 Å; angles 90.00, 90.00, 90.00 degrees
Space group F-43m (No. 216)
One atom of each set of equivalent atoms:
Ce  0.000  0.000  0.000
Pu  0.250  0.250  0.750
Al  0.000  0.000  0.500
Re  0.250  0.250  0.250

(6)
Crystalline Ca3InAu3 at its relaxed geometry. Source: Alexandria via LeMat-Bulk, functional PBE.

Properties
For the calculated formation energy, the calculation gives -4.906 eV/f.u. For the energy above the most stable polymorph in this dataset, the calculation gives 0.055 eV per atom.

Cell lengths 11.718, 4.399, 14.907 Å; angles 90.00, 109.70, 90.00 degrees
Space group C2/m (No. 12)
One atom of each set of equivalent atoms:
Ca  0.012  0.000  0.378
Ca  0.111  0.000  0.924
Ca  0.237  0.000  0.224
In  0.227  0.500  0.397
Au  0.011  0.500  0.228
Au  0.116  0.500  0.076
Au  0.125  0.500  0.549

(7)
Crystalline Nd4AlGaAg2 at its relaxed geometry. Source: Alexandria via LeMat-Bulk, functional PBE.

Properties
For the calculated formation energy, the calculation gives -2.768 eV/f.u.

Cell lengths 5.2988, 5.2988, 26.0111 Å; angles 90.00, 90.00, 120.00 degrees
Space group R-3m (No. 166, hexagonal axes)
One atom of each set of equivalent atoms:
Nd  0.0000  0.0000  0.1229
Nd  0.0000  0.0000  0.3733
Al  0.0000  0.0000  0.5000
Ga  0.0000  0.0000  0.0000
Ag  0.0000  0.0000  0.2452

(8)
Crystalline Sm2ReCl at its relaxed geometry. Source: Alexandria via LeMat-Bulk, functional PBE.

Properties
For the energy above the most stable polymorph in this dataset, the calculation gives 0.726 eV per atom. The value obtained for the raw formation energy is 15 kJ per mole of atoms.

Cell lengths 3.2003, 3.2003, 30.7266 Å; angles 90.00, 90.00, 120.00 degrees
Space group R-3m (No. 166, hexagonal axes)
One atom of each set of equivalent atoms:
Sm  0.0000  0.0000  0.0906
Re  0.0000  0.0000  0.0000
Cl  0.0000  0.0000  0.5000

(9)
Crystalline Rb4Pa3Se10 at its relaxed geometry. Source: Alexandria via LeMat-Bulk, functional PBE.

Properties
The value obtained for the raw formation energy is -129 kJ per mole of atoms.

Cell lengths 5.538, 5.538, 39.472 Å; angles 90.00, 90.00, 90.00 degrees
Space group I4/mmm (No. 139)
One atom of each set of equivalent atoms:
Rb  0.000  0.000  0.070
Rb  0.000  0.000  0.203
Pa  0.000  0.000  0.359
Pa  0.000  0.000  0.500
Se  0.000  0.000  0.292
Se  0.000  0.000  0.431
Se  0.000  0.500  0.000
Se  0.000  0.500  0.137

(10)
Crystalline CeGaSnPt at its relaxed geometry. Source: Alexandria via LeMat-Bulk, functional PBE.

Properties
For the calculated formation energy, the calculation gives -2.630 eV/f.u.

Cell lengths 6.991, 6.991, 6.991 Å; angles 90.00, 90.00, 90.00 degrees
Space group F-43m (No. 216)
One atom of each set of equivalent atoms:
Ce  0.000  0.000  0.000
Ga  0.250  0.250  0.750
Sn  0.000  0.000  0.500
Pt  0.250  0.250  0.250

(11)
Crystalline K2ZnW at its relaxed geometry. Source: Alexandria via LeMat-Bulk, functional PBE.

Properties
For the calculated formation energy, the calculation gives 3.647 eV/f.u.

Cell lengths 2.899, 4.136, 10.443 Å; angles 90.00, 96.01, 90.00 degrees
Space group Pm (No. 6)
One atom of each set of equivalent atoms:
K  0.000  0.000  0.000
K  0.280  0.500  0.414
Zn  0.408  0.500  0.755
W  0.877  0.000  0.674

(12)
Crystalline Ca2GeTeO6 at its relaxed geometry. Source: Alexandria via LeMat-Bulk, functional PBE.

Properties
The value obtained for the raw formation energy is -185 kJ per mole of atoms.

Cell lengths 5.496, 5.496, 4.807 Å; angles 90.00, 90.00, 90.00 degrees
Space group P4mm (No. 99)
One atom of each set of equivalent atoms:
Ca  0.000  0.500  0.000
Ge  0.000  0.000  0.583
Te  0.500  0.500  0.597
O  0.000  0.000  0.218
O  0.233  0.233  0.708
O  0.500  0.500  0.194